# 1
Computed, not measured: Pr2GaCu2Pd5 after structural relaxation at the PBE level of DFT.

Results
Crystal system ... tetragonal
Total DFT energy (no corrections) ... -5.275 eV/atom

```
Pr2GaCu2Pd5
1.0
9.6469 0.0000 0.0000
0.0000 9.6469 0.0000
0.0000 0.0000 3.8577
Pr Ga Cu Pd
4 2 4 10
Direct
0.1761 0.3239 0.0000
0.3239 0.8239 0.0000
0.6761 0.1761 0.0000
0.8239 0.6761 0.0000
0.0000 0.0000 0.0000
0.5000 0.5000 0.0000
0.1224 0.6224 0.0000
0.3776 0.1224 0.0000
0.6224 0.8776 0.0000
0.8776 0.3776 0.0000
0.0000 0.5000 0.5000
0.0633 0.7974 0.5000
0.2026 0.0633 0.5000
0.2974 0.5633 0.5000
0.4367 0.2974 0.5000
0.5000 0.0000 0.5000
0.5633 0.7026 0.5000
0.7026 0.4367 0.5000
0.7974 0.9367 0.5000
0.9367 0.2026 0.5000
```


# 2
Computed, not measured: Pr2Ga2CuPd5 after structural relaxation at the PBE level of DFT.

Results
Crystal system ... tetragonal
Total DFT energy (no corrections) ... -5.137 eV/atom

```
Pr2Ga2CuPd5
1.0
10.3412 0.0000 0.0000
0.0000 10.3412 0.0000
0.0000 0.0000 3.4648
Pr Ga Cu Pd
4 4 2 10
Direct
0.1760 0.3240 0.0000
0.3240 0.8240 0.0000
0.6760 0.1760 0.0000
0.8240 0.6760 0.0000
0.1266 0.6266 0.0000
0.3734 0.1266 0.0000
0.6266 0.8734 0.0000
0.8734 0.3734 0.0000
0.0000 0.0000 0.0000
0.5000 0.5000 0.0000
0.0000 0.5000 0.5000
0.0559 0.8048 0.5000
0.1952 0.0559 0.5000
0.3048 0.5559 0.5000
0.4441 0.3048 0.5000
0.5000 0.0000 0.5000
0.5559 0.6952 0.5000
0.6952 0.4441 0.5000
0.8048 0.9441 0.5000
0.9441 0.1952 0.5000
```


# 3
Computed, not measured: PrGaCu2Pd4 after structural relaxation at the PBE level of DFT.

Results
Crystal system ... trigonal
Total DFT energy (no corrections) ... -5.068 eV/atom

```
PrGaCu2Pd4
1.0
2.1869 1.2626 8.1574
-2.1869 1.2626 8.1574
0.0000 -2.5252 8.1574
Pr Ga Cu Pd
1 1 2 4
Direct
0.0000 0.0000 0.0000
0.5000 0.5000 0.5000
0.2439 0.2439 0.2439
0.7561 0.7561 0.7561
0.1310 0.1310 0.1310
0.3996 0.3996 0.3996
0.6004 0.6004 0.6004
0.8690 0.8690 0.8690
```


# 4
Computed, not measured: PrGaCuPd after structural relaxation at the PBE level of DFT.

Results
Crystal system ... trigonal
Polymorph energy (0 for the lowest one) ... 0.00 eV per formula unit
Total DFT energy (no corrections) ... -4.817 eV/atom

```
PrGaCuPd
1.0
2.1914 1.2652 4.8338
-2.1914 1.2652 4.8338
0.0000 -2.5304 4.8338
Pr Ga Cu Pd
1 1 1 1
Direct
0.0000 0.0000 0.0000
0.5091 0.5091 0.5091
0.2043 0.2043 0.2043
0.7935 0.7935 0.7935
```


# 5
Computed, not measured: PrGa2CuPd5 after structural relaxation at the PBE level of DFT.

Results
Crystal system ... tetragonal
Total DFT energy (no corrections) ... -4.900 eV/atom

```
PrGa2CuPd5
1.0
4.7593 0.0000 0.0000
0.0000 4.7593 0.0000
0.0000 0.0000 7.2380
Pr Ga Cu Pd
1 2 1 5
Direct
0.0000 0.0000 0.0000
0.5000 0.5000 0.3362
0.5000 0.5000 0.6638
0.0000 0.0000 0.5000
0.0000 0.5000 0.2844
0.0000 0.5000 0.7156
0.5000 0.0000 0.2844
0.5000 0.0000 0.7156
0.5000 0.5000 0.0000
```


# 6
Computed, not measured: PrGa3CuPd after structural relaxation at the PBE level of DFT.

Results
Crystal system ... orthorhombic
Total DFT energy (no corrections) ... -4.228 eV/atom

```
PrGa3CuPd
1.0
3.0826 -6.0752 0.0000
3.0826 6.0752 0.0000
0.0000 0.0000 6.2019
Pr Ga Cu Pd
2 6 2 2
Direct
0.2210 0.7790 0.7500
0.7790 0.2210 0.2500
0.2109 0.2109 0.0000
0.2109 0.2109 0.5000
0.3452 0.6548 0.2500
0.6548 0.3452 0.7500
0.7891 0.7891 0.0000
0.7891 0.7891 0.5000
0.4521 0.5479 0.7500
0.5479 0.4521 0.2500
0.1389 0.8611 0.2500
0.8611 0.1389 0.7500
```


# 7
Computed, not measured: PrGaCuPd after structural relaxation at the PBE level of DFT.

Results
Crystal system ... cubic
Polymorph energy (0 for the lowest one) ... 0.50 eV per formula unit
Total DFT energy (no corrections) ... -4.692 eV/atom

```
PrGaCuPd
1.0
0.0000 3.3815 3.3815
3.3815 0.0000 3.3815
3.3815 3.3815 0.0000
Pr Ga Cu Pd
1 1 1 1
Direct
0.0000 0.0000 0.0000
0.5000 0.5000 0.5000
0.7500 0.7500 0.7500
0.2500 0.2500 0.2500
```


# 8
Computed, not measured: GaCu2Pd5Pt after structural relaxation at the PBE level of DFT.

Results
Crystal system ... tetragonal
Total DFT energy (no corrections) ... -4.791 eV/atom

```
GaCu2Pd5Pt
1.0
-3.1295 3.1295 7.2328
3.1295 -3.1295 7.2328
3.1295 3.1295 -7.2328
Ga Cu Pd Pt
2 4 10 2
Direct
0.2500 0.2500 0.0000
0.7500 0.7500 0.0000
0.1234 0.6234 0.7468
0.3766 0.1234 0.5000
0.6234 0.8766 0.5000
0.8766 0.3766 0.2532
0.0000 0.0000 0.0000
0.0922 0.1181 0.5000
0.1181 0.6181 0.0260
0.3819 0.4078 0.5000
0.4078 0.9078 0.0260
0.5000 0.5000 0.0000
0.5922 0.0922 0.9740
0.6181 0.5922 0.5000
0.8819 0.3819 0.9740
0.9078 0.8819 0.5000
0.2500 0.7500 0.5000
0.7500 0.2500 0.5000
```


# 9
Computed, not measured: Ga2CuPdPt5 after structural relaxation at the PBE level of DFT.

Results
Crystal system ... tetragonal
Total DFT energy (no corrections) ... -5.038 eV/atom

```
Ga2CuPdPt5
1.0
-3.6106 3.6106 5.6389
3.6106 -3.6106 5.6389
3.6106 3.6106 -5.6389
Ga Cu Pd Pt
4 2 2 10
Direct
0.1116 0.6116 0.7233
0.3884 0.1116 0.5000
0.6116 0.8884 0.5000
0.8884 0.3884 0.2767
0.2500 0.2500 0.0000
0.7500 0.7500 0.0000
0.2500 0.7500 0.5000
0.7500 0.2500 0.5000
0.0000 0.0000 0.0000
0.0780 0.1582 0.5000
0.1582 0.6582 0.0803
0.3418 0.4220 0.5000
0.4220 0.9220 0.0803
0.5000 0.5000 0.0000
0.5780 0.0780 0.9197
0.6582 0.5780 0.5000
0.8418 0.3418 0.9197
0.9220 0.8418 0.5000
```


# 10
Computed, not measured: Ga2CuPd5Pt2 after structural relaxation at the PBE level of DFT.

Results
Crystal system ... tetragonal
Total DFT energy (no corrections) ... -5.095 eV/atom

```
Ga2CuPd5Pt2
1.0
8.9163 0.0000 0.0000
0.0000 8.9163 0.0000
0.0000 0.0000 3.9078
Ga Cu Pd Pt
4 2 10 4
Direct
0.1313 0.3687 0.0000
0.3687 0.8687 0.0000
0.6313 0.1313 0.0000
0.8687 0.6313 0.0000
0.0000 0.0000 0.0000
0.5000 0.5000 0.0000
0.0000 0.5000 0.5000
0.0822 0.1951 0.5000
0.1951 0.9178 0.5000
0.3049 0.4178 0.5000
0.4178 0.6951 0.5000
0.5000 0.0000 0.5000
0.5822 0.3049 0.5000
0.6951 0.5822 0.5000
0.8049 0.0822 0.5000
0.9178 0.8049 0.5000
0.1650 0.6650 0.0000
0.3350 0.1650 0.0000
0.6650 0.8350 0.0000
0.8350 0.3350 0.0000
```


# 11
Computed, not measured: Pu2Ga3Cu4Pd after structural relaxation at the PBE level of DFT.

Results
Crystal system ... tetragonal
Total DFT energy (no corrections) ... -6.160 eV/atom

```
Pu2Ga3Cu4Pd
1.0
3.9839 0.0000 0.0000
0.0000 3.9839 0.0000
0.0000 0.0000 11.0393
Pu Ga Cu Pd
2 3 4 1
Direct
0.0000 0.5000 0.2464
0.5000 0.0000 0.7536
0.0000 0.0000 0.0000
0.0000 0.5000 0.6325
0.5000 0.0000 0.3675
0.0000 0.0000 0.5000
0.0000 0.5000 0.8532
0.5000 0.0000 0.1468
0.5000 0.5000 0.5000
0.5000 0.5000 0.0000
```


# 12
Computed, not measured: Pu2Ga4Cu3Pd after structural relaxation at the PBE level of DFT.

Results
Crystal system ... tetragonal
Total DFT energy (no corrections) ... -6.143 eV/atom

```
Pu2Ga4Cu3Pd
1.0
4.1623 0.0000 0.0000
0.0000 4.1623 0.0000
0.0000 0.0000 10.3641
Pu Ga Cu Pd
2 4 3 1
Direct
0.0000 0.5000 0.2463
0.5000 0.0000 0.7537
0.0000 0.0000 0.0000
0.0000 0.5000 0.6372
0.5000 0.0000 0.3628
0.5000 0.5000 0.0000
0.0000 0.5000 0.8689
0.5000 0.0000 0.1311
0.5000 0.5000 0.5000
0.0000 0.0000 0.5000
```